A plane-wave DFT calculation with PBE was carried out for a geometry-optimized Ac4Bi2Au structure.

a b c (Å): 5.792 5.792 9.870
angles (deg): 107.06 107.06 90.00
Fractional coordinates of all 7 atoms:
Ac1 0.822 0.822 0.643
Ac2 0.178 0.178 0.357
Ac3 0.000 0.500 0.000
Ac4 0.500 0.000 0.000
Au1 0.000 0.000 0.000
Bi1 0.633 0.633 0.266
Bi2 0.367 0.367 0.734

Properties
E in eV for the cell shown: -31.08

A plane-wave DFT calculation with PBE was carried out for a geometry-optimized Ac3Bi4Au3 structure.

a b c (Å): 9.241 9.241 9.241
angles (deg): 109.47 109.47 109.47
Fractional coordinates of all 20 atoms:
Ac1 0.625 0.750 0.875
Ac2 0.875 0.250 0.625
Ac3 0.125 0.375 0.250
Ac4 0.375 0.125 0.750
Ac5 0.250 0.875 0.125
Ac6 0.750 0.625 0.375
Bi1 0.000 0.000 0.328
Bi2 0.500 0.328 0.500
Bi3 0.672 0.172 0.172
Bi4 0.000 0.000 0.828
Bi5 0.828 0.500 0.000
Bi6 0.500 0.828 0.500
Bi7 0.328 0.500 0.000
Bi8 0.172 0.672 0.672
Au1 0.125 0.750 0.375
Au2 0.375 0.250 0.125
Au3 0.625 0.875 0.250
Au4 0.875 0.625 0.750
Au5 0.250 0.375 0.625
Au6 0.750 0.125 0.875

Properties
E in eV for the cell shown: -91.76

What is the formula in the second record? Ac3Bi4Au3